Entry 1:
A geometry-optimized BaReW structure, computed with PBE-GGA.

Total magnetization ... 0.000 Bohr magnetons per cell
Raw total energy ... -8.3201 eV/atom
Formation energy ... 0.79 eV per atom

Structure (CIF):
```
data_BaReW
_chemical_formula_sum 'Ba2 Re2 W2'
_symmetry_space_group_name_H-M 'I 4 m m'
_symmetry_Int_Tables_number 107
_symmetry_space_group_name_Hall 'I 4 -2'
_cell_length_a 3.2763
_cell_length_b 3.2763
_cell_length_c 13.2861
_cell_angle_alpha 90.00
_cell_angle_beta 90.00
_cell_angle_gamma 90.00
loop_
_atom_site_label
_atom_site_type_symbol
_atom_site_fract_x
_atom_site_fract_y
_atom_site_fract_z
Ba1 Ba 0.0000 0.0000 0.0000
Re1 Re 0.0000 0.0000 0.2977
W1 W 0.0000 0.0000 0.7125
```


Entry 2:
A geometry-optimized BaRe2W structure, computed with PBE-GGA.

Total magnetization ... 0.000 Bohr magnetons per cell
Raw total energy ... -9.0230 eV/atom
Formation energy ... 0.92 eV per atom

Structure (CIF):
```
data_BaRe2W
_chemical_formula_sum 'Ba2 Re4 W2'
_symmetry_space_group_name_H-M 'C m m m'
_symmetry_Int_Tables_number 65
_symmetry_space_group_name_Hall '-C 2 2'
_cell_length_a 3.2839
_cell_length_b 4.7639
_cell_length_c 9.9715
_cell_angle_alpha 90.00
_cell_angle_beta 90.00
_cell_angle_gamma 90.00
loop_
_atom_site_label
_atom_site_type_symbol
_atom_site_fract_x
_atom_site_fract_y
_atom_site_fract_z
Ba1 Ba 0.0000 0.0000 0.0000
Re1 Re 0.0000 0.5000 0.2945
W1 W 0.0000 0.0000 0.5000
```


Entry 3:
A geometry-optimized BaRe2W structure, computed with PBE-GGA.

Total magnetization ... 0.000 Bohr magnetons per cell
Raw total energy ... -8.5897 eV/atom
Formation energy ... 1.35 eV per atom

Structure (CIF):
```
data_BaRe2W
_chemical_formula_sum 'Ba2 Re4 W2'
_symmetry_space_group_name_H-M 'I m m m'
_symmetry_Int_Tables_number 71
_symmetry_space_group_name_Hall '-I 2 2'
_cell_length_a 3.0142
_cell_length_b 5.4148
_cell_length_c 9.9957
_cell_angle_alpha 90.00
_cell_angle_beta 90.00
_cell_angle_gamma 90.00
loop_
_atom_site_label
_atom_site_type_symbol
_atom_site_fract_x
_atom_site_fract_y
_atom_site_fract_z
Ba1 Ba 0.0000 0.0000 0.0000
Re1 Re 0.0000 0.5000 0.2127
W1 W 0.0000 0.0000 0.5000
```